1.
NaZrTaS3: optimized geometry, PBE.

POSCAR file:
```
NaZrTaS3
1.0
1.8078 -6.9842 0.0000
1.8078 6.9842 0.0000
0.0000 0.0000 9.8022
Na Zr Ta S
2 2 2 6
direct
0.2421 0.7579 0.7500
0.7579 0.2421 0.2500
0.0000 0.0000 0.0000
0.0000 0.0000 0.5000
0.4770 0.5230 0.2500
0.5230 0.4770 0.7500
0.0972 0.9028 0.2500
0.3701 0.6299 0.0612
0.3701 0.6299 0.4388
0.6299 0.3701 0.5612
0.6299 0.3701 0.9388
0.9028 0.0972 0.7500
```

Properties
The calculation puts the calculated volume at 123.8 Å³/f.u. Its total energy is -6.83 eV/atom. Its space group is No. 63.


2.
LuZrPa: optimized geometry, PBE.

POSCAR file:
```
LuZrPa
1.0
0.0000 3.5433 3.5433
3.5433 0.0000 3.5433
3.5433 3.5433 0.0000
Lu Zr Pa
1 1 1
direct
0.0000 0.0000 0.0000
0.2500 0.2500 0.2500
0.7500 0.7500 0.7500
```

Properties
The value obtained for the energy of formation from the pure elements is 105.9 kJ per mole of atoms. The calculation puts the calculated volume at 89.0 Å³/f.u. Its total energy is -6.42 eV/atom. Its space group is No. 216.


3.
LuGa: optimized geometry, PBE.

POSCAR file:
```
LuGa
1.0
0.0000 2.8988 2.8988
2.8988 0.0000 2.8988
2.8988 2.8988 0.0000
Lu Ga
1 1
direct
0.0000 0.0000 0.0000
0.5000 0.5000 0.5000
```

Properties
The calculation puts the calculated volume at 48.7 Å³/f.u. Its total energy is -3.98 eV/atom. Its space group is No. 225.


4.
Zr3Zn2B2: optimized geometry, PBE.

POSCAR file:
```
Zr3Zn2B2
1.0
2.1604 1.2473 7.3583
-2.1604 1.2473 7.3583
0.0000 -2.4947 7.3583
Zr Zn B
3 2 2
direct
0.0000 0.0000 0.0000
0.2366 0.2366 0.2366
0.4766 0.4766 0.4766
0.1137 0.1137 0.1137
0.6204 0.6204 0.6204
0.3554 0.3554 0.3554
0.8689 0.8689 0.8689
```

Properties
The calculation puts the calculated volume at 119.0 Å³/f.u. Its total energy is -5.72 eV/atom. Its space group is No. 160.


5.
Cs2AgSnI6: optimized geometry, PBE.

POSCAR file:
```
Cs2AgSnI6
1.0
0.0000 6.0235 6.0235
6.0235 0.0000 6.0235
6.0235 6.0235 0.0000
Cs Ag Sn I
2 1 1 6
direct
0.2500 0.2500 0.2500
0.7500 0.7500 0.7500
0.0000 0.0000 0.0000
0.5000 0.5000 0.5000
0.2476 0.2476 0.7524
0.2476 0.7524 0.2476
0.2476 0.7524 0.7524
0.7524 0.2476 0.2476
0.7524 0.2476 0.7524
0.7524 0.7524 0.2476
```

Properties
The calculation puts the calculated volume at 437.1 Å³/f.u. Its total energy is -2.63 eV/atom. Its space group is No. 225.


6.
Nd12Co6Hg: optimized geometry, PBE.

POSCAR file:
```
Nd12Co6Hg
1.0
-4.9862 4.9862 4.9862
4.9862 -4.9862 4.9862
4.9862 4.9862 -4.9862
Nd Co Hg
12 6 1
direct
0.1121 0.8065 0.3055
0.1935 0.3055 0.4990
0.1935 0.6945 0.8879
0.3055 0.1121 0.8065
0.3055 0.4990 0.1935
0.4990 0.1935 0.3055
0.5010 0.8065 0.6945
0.6945 0.5010 0.8065
0.6945 0.8879 0.1935
0.8065 0.3055 0.1121
0.8065 0.6945 0.5010
0.8879 0.1935 0.6945
0.1113 0.6113 0.5000
0.3887 0.5000 0.8887
0.5000 0.1113 0.6113
0.5000 0.8887 0.3887
0.6113 0.5000 0.1113
0.8887 0.3887 0.5000
0.0000 0.0000 0.0000
```

Properties
The value obtained for the energy of formation from the pure elements is -12.9 kJ per mole of atoms. The calculation puts the calculated volume at 495.9 Å³/f.u. Its total energy is -5.40 eV/atom. Its space group is No. 204.


Q: The lowest calculated volume belongs to which entry?
A: LuGa


Q: What is the calculated volume in the third record?
A: 48.7 Å³/f.u.


Q: Which formula does entry 2 have?
A: LuZrPa